DFT (PBE) results for Ga2HgAs after structural relaxation.

Lattice parameters (Å, degrees): 6.4212 6.4212 10.3968 90.00 90.00 90.00
With the nearest neighbours (Å) after each atom.
Space group I-42d (No. 122)
Asymmetric unit:
Ga  0.2235  0.2500  0.1250 (multiplicity 8)  2 As 2.52, 2 Hg 2.72
Hg  0.0000  0.0000  0.5000 (multiplicity 4)  4 Ga 2.72
As  0.0000  0.0000  0.0000 (multiplicity 4)  4 Ga 2.52

Values from the calculation:
Final energy, eV per cell: -43.595
V, Å³/f.u.: 107.17
Energy of formation, eV/f.u.: 0.11

***

DFT (PBE) results for GaHgAs2 after structural relaxation.

Lattice parameters (Å, degrees): 3.1841 3.1841 31.5520 90.00 90.00 120.00
With the nearest neighbours (Å) after each atom.
Space group R-3m (No. 166, hexagonal axes)
Asymmetric unit:
Ga  0.0000  0.0000  0.0000 (multiplicity 3)  6 As 2.68
Hg  0.0000  0.0000  0.5000 (multiplicity 3)  6 Hg 3.18, 2 As 3.31
As  0.0000  0.0000  0.3951 (multiplicity 6)  3 Ga 2.68

Values from the calculation:
Final energy, eV per cell: -35.425
Energy relative to the lowest polymorph listed for this composition, kcal/mol of atoms: 4.81
V, Å³/f.u.: 92.35
Energy of formation, eV/f.u.: 0.82

***

DFT (PBE) results for GaHgAs2Ir after structural relaxation.

Lattice parameters (Å, degrees): 4.8234 4.8234 5.3100 90.00 90.00 90.00
With the nearest neighbours (Å) after each atom.
Space group P4/mmm (No. 123)
Asymmetric unit:
Ga  0.0000  0.0000  0.0000 (multiplicity 1)  4 Hg 3.41, 8 As 3.59
Hg  0.5000  0.5000  0.0000 (multiplicity 1)  2 Ir 2.66
As  0.0000  0.5000  0.5000 (multiplicity 2)  2 Ir 2.41
Ir  0.5000  0.5000  0.5000 (multiplicity 1)  4 As 2.41, 2 Hg 2.66

Values from the calculation:
Final energy, eV per cell: -19.441
V, Å³/f.u.: 123.54
Energy of formation, eV/f.u.: 2.05

***

DFT (PBE) results for LaGaHg2As after structural relaxation.

Lattice parameters (Å, degrees): 5.1117 5.1117 5.1702 90.00 90.00 90.00
With the nearest neighbours (Å) after each atom.
Space group P4/mmm (No. 123)
Asymmetric unit:
La  0.0000  0.0000  0.0000 (multiplicity 1)  4 As 3.61, 8 Hg 3.64
Ga  0.5000  0.5000  0.5000 (multiplicity 1)  4 Hg 2.56, 2 As 2.59
Hg  0.0000  0.5000  0.5000 (multiplicity 2)  2 Ga 2.56
As  0.5000  0.5000  0.0000 (multiplicity 1)  2 Ga 2.59

Values from the calculation:
Final energy, eV per cell: -14.073
V, Å³/f.u.: 135.10
Energy of formation, eV/f.u.: -0.87

***

DFT (PBE) results for Na2GaHgAs after structural relaxation.

Lattice parameters (Å, degrees): 5.5870 5.5870 4.9763 90.00 90.00 90.00
With the nearest neighbours (Å) after each atom.
Space group P4/mmm (No. 123)
Asymmetric unit:
Na  0.0000  0.5000  0.0000 (multiplicity 2)  2 As 2.79
Ga  0.0000  0.0000  0.5000 (multiplicity 1)  2 As 2.49
Hg  0.5000  0.5000  0.5000 (multiplicity 1)  8 Na 3.74, 4 Ga 3.95
As  0.0000  0.0000  0.0000 (multiplicity 1)  2 Ga 2.49

Values from the calculation:
Final energy, eV per cell: -11.236
V, Å³/f.u.: 155.33
Energy of formation, eV/f.u.: -0.62

***

DFT (PBE) results for Nb2GaHgAs after structural relaxation.

Lattice parameters (Å, degrees): 4.8431 4.8431 4.7653 90.00 90.00 90.00
With the nearest neighbours (Å) after each atom.
Space group P4/mmm (No. 123)
Asymmetric unit:
Nb  0.0000  0.5000  0.0000 (multiplicity 2)  2 As 2.42
Ga  0.0000  0.0000  0.5000 (multiplicity 1)  2 As 2.38
Hg  0.5000  0.5000  0.5000 (multiplicity 1)  8 Nb 3.40, 4 Ga 3.42
As  0.0000  0.0000  0.0000 (multiplicity 1)  2 Ga 2.38, 4 Nb 2.42

Values from the calculation:
Final energy, eV per cell: -24.609
Energy relative to the lowest polymorph listed for this composition, kcal/mol of atoms: 0.00
V, Å³/f.u.: 111.78
Energy of formation, eV/f.u.: 3.51